# 1
Compound: NbV2Pd9
Source: the Alexandria database
Functional: PBE
Structure: relaxed

**Density of states at the Fermi level**: 13.93 states/eV/f.u.
**Formation enthalpy at 0 K**: -278 meV per atom
**E**: -6.53 eV/atom
**V**: 182.8 Å³/cell

abc: 3.9361 3.9361 11.7996
angles: 90.00 90.00 90.00
Closest atoms and distances in Å follow each position.
Space group P4/mmm (No. 123)
One atom of each set of equivalent atoms:
Nb  0.0000  0.0000  0.0000 [1 per cell]  12 Pd 2.78
V  0.0000  0.0000  0.3407 [2 per cell]  12 Pd 2.72-2.84
Pd  0.0000  0.5000  0.1666 [4 per cell]  2 Nb 2.78, 8 Pd 2.78, 2 V 2.84
Pd  0.0000  0.5000  0.5000 [2 per cell]  4 V 2.72, 8 Pd 2.78
Pd  0.5000  0.5000  0.0000 [1 per cell]  8 Pd 2.78, 4 Nb 2.78
Pd  0.5000  0.5000  0.3333 [2 per cell]  8 Pd 2.78, 4 V 2.78

=====

# 2
Compound: Nb2VPd
Source: the Alexandria database
Functional: PBE
Structure: relaxed

**Density of states at the Fermi level**: 3.99 states/eV/f.u.
**Formation enthalpy at 0 K**: 467 meV per atom
**E**: -8.15 eV/atom
**V**: 284.0 Å³/cell
**Energy relative to the lowest polymorph listed for this composition**: 587 meV/atom

abc: 3.8173 3.8173 19.4920
angles: 90.00 90.00 90.00
Closest atoms and distances in Å follow each position.
Space group I-42d (No. 122)
One atom of each set of equivalent atoms:
Nb  0.2427  0.2500  0.1250 [8 per cell]  4 Nb 2.66-2.74, 2 V 2.78, 2 Pd 2.80
V  0.0000  0.0000  0.0000 [4 per cell]  4 Pd 2.70, 4 Nb 2.78
Pd  0.0000  0.0000  0.5000 [4 per cell]  4 V 2.70, 4 Nb 2.80

=====

# 3
Compound: NbVPd6
Source: the Alexandria database
Functional: PBE
Structure: relaxed

**Density of states at the Fermi level**: 8.28 states/eV/f.u.
**Formation enthalpy at 0 K**: -297 meV per atom
**E**: -6.59 eV/atom
**V**: 123.0 Å³/cell
**Energy relative to the lowest polymorph listed for this composition**: 0 meV/atom

abc: 5.5897 5.5897 3.9382
angles: 90.00 90.00 90.00
Closest atoms and distances in Å follow each position.
Space group P4/mmm (No. 123)
One atom of each set of equivalent atoms:
Nb  0.0000  0.0000  0.0000 [1 per cell]  12 Pd 2.79
V  0.5000  0.5000  0.0000 [1 per cell]  12 Pd 2.79
Pd  0.0000  0.5000  0.0000 [2 per cell]  8 Pd 2.79, 2 Nb 2.79, 2 V 2.79
Pd  0.2499  0.2499  0.5000 [4 per cell]  2 Nb 2.79, 8 Pd 2.79-2.80, 2 V 2.79

=====

# 4
Compound: NbV2Pd5
Source: the Alexandria database
Functional: PBE
Structure: relaxed

**Density of states at the Fermi level**: 7.45 states/eV/f.u.
**Formation enthalpy at 0 K**: -211 meV per atom
**E**: -6.99 eV/atom
**V**: 241.6 Å³/cell

abc: 5.5994 11.2218 3.8455
angles: 90.00 90.00 90.00
Closest atoms and distances in Å follow each position.
Space group Pbam (No. 55)
One atom of each set of equivalent atoms:
Nb  0.0000  0.0000  0.0000 [2 per cell]  4 V 2.76, 8 Pd 2.77-2.80
V  0.2487  0.1255  0.5000 [4 per cell]  10 Pd 2.75-2.81, 2 Nb 2.76
Pd  0.0000  0.5000  0.0000 [2 per cell]  6 Pd 2.75-2.82, 4 V 2.77, 2 Nb 2.80
Pd  0.0058  0.7511  0.0000 [4 per cell]  7 Pd 2.75-2.82, 4 V 2.75-2.77, 1 Nb 2.79
Pd  0.2462  0.3752  0.5000 [4 per cell]  6 Pd 2.75-2.77, 2 Nb 2.77, 4 V 2.79-2.81

=====

# 5
Compound: NbVPd
Source: the Alexandria database
Functional: PBE
Structure: relaxed

**Density of states at the Fermi level**: 2.91 states/eV/f.u.
**Formation enthalpy at 0 K**: 150 meV per atom
**E**: -7.98 eV/atom
**V**: 302.2 Å³/cell
**Energy relative to the lowest polymorph listed for this composition**: 317 meV/atom

abc: 4.4245 4.4245 17.8266
angles: 90.00 90.00 120.00
Closest atoms and distances in Å follow each position.
Space group R-3m (No. 166, hexagonal axes)
One atom of each set of equivalent atoms:
Nb  0.0000  0.0000  0.2058 [6 per cell]  4 V 2.50-2.78
V  0.0000  0.0000  0.0658 [6 per cell]  1 V 2.34, 1 Nb 2.50, 3 Pd 2.62
Pd  0.0000  0.0000  0.3673 [6 per cell]  3 V 2.62, 3 Pd 2.83, 1 Nb 2.88

=====

# 6
Compound: Nb2VPd4
Source: the Alexandria database
Functional: PBE
Structure: relaxed

**Density of states at the Fermi level**: 7.39 states/eV/f.u.
**Formation enthalpy at 0 K**: -29 meV per atom
**E**: -7.18 eV/atom
**V**: 238.5 Å³/cell

abc: 6.7436 6.7436 5.2453
angles: 90.00 90.00 90.00
Closest atoms and distances in Å follow each position.
Space group I4/mmm (No. 139)
One atom of each set of equivalent atoms:
Nb  0.0000  0.5000  0.2500 [4 per cell]  2 Nb 2.62, 8 Pd 2.76
V  0.0000  0.0000  0.0000 [2 per cell]  4 Pd 2.86
Pd  0.2002  0.2002  0.5000 [8 per cell]  4 Pd 2.70-2.79, 4 Nb 2.76, 1 V 2.86

=====

# 7
Compound: Nb2VPd
Source: the Alexandria database
Functional: PBE
Structure: relaxed

**Density of states at the Fermi level**: 4.61 states/eV/f.u.
**Formation enthalpy at 0 K**: -7 meV per atom
**E**: -8.62 eV/atom
**V**: 262.7 Å³/cell
**Energy relative to the lowest polymorph listed for this composition**: 113 meV/atom

abc: 6.4041 6.4041 6.4041
angles: 90.00 90.00 90.00
Closest atoms and distances in Å follow each position.
Space group Fm-3m (No. 225)
One atom of each set of equivalent atoms:
Nb  0.2500  0.2500  0.2500 [8 per cell]  4 Pd 2.77, 4 V 2.77
V  0.0000  0.0000  0.0000 [4 per cell]  8 Nb 2.77
Pd  0.0000  0.0000  0.5000 [4 per cell]  8 Nb 2.77

=====

# 8
Compound: NbV3Pd
Source: the Alexandria database
Functional: PBE
Structure: relaxed

**Density of states at the Fermi level**: 5.70 states/eV/f.u.
**Formation enthalpy at 0 K**: 1393 meV per atom
**E**: -7.13 eV/atom
**V**: 95.9 Å³/cell
**Energy relative to the lowest polymorph listed for this composition**: 59 meV/atom

abc: 4.5777 4.5777 4.5777
angles: 90.00 90.00 90.00
Closest atoms and distances in Å follow each position.
Space group Pm-3m (No. 221)
One atom of each set of equivalent atoms:
Nb  0.0000  0.0000  0.0000 [1 per cell]  6 V 2.29
V  0.0000  0.0000  0.5000 [3 per cell]  2 Nb 2.29
Pd  0.5000  0.5000  0.5000 [1 per cell]  12 V 3.24

=====

# 9
Compound: NbVPd
Source: the Alexandria database
Functional: PBE
Structure: relaxed

**Density of states at the Fermi level**: 4.33 states/eV/f.u.
**Formation enthalpy at 0 K**: -150 meV per atom
**E**: -8.28 eV/atom
**V**: 94.1 Å³/cell
**Energy relative to the lowest polymorph listed for this composition**: 18 meV/atom

abc: 2.7549 2.7549 12.3991
angles: 90.00 90.00 90.00
Closest atoms and distances in Å follow each position.
Space group I4mm (No. 107)
One atom of each set of equivalent atoms:
Nb  0.0000  0.0000  0.0000 [2 per cell]  4 Nb 2.75, 4 V 2.89, 4 Pd 2.93
V  0.0000  0.0000  0.6721 [2 per cell]  4 Pd 2.70, 4 V 2.75, 4 Nb 2.89
Pd  0.0000  0.0000  0.3234 [2 per cell]  4 V 2.70, 4 Pd 2.75, 4 Nb 2.93

=====

# 10
Compound: NbV4Pd
Source: the Alexandria database
Functional: PBE
Structure: relaxed

**Density of states at the Fermi level**: 9.41 states/eV/f.u.
**Formation enthalpy at 0 K**: 20 meV per atom
**E**: -8.60 eV/atom
**V**: 352.7 Å³/cell

abc: 7.0657 7.0657 7.0657
angles: 90.00 90.00 90.00
Closest atoms and distances in Å follow each position.
Space group F-43m (No. 216)
One atom of each set of equivalent atoms:
Nb  0.0000  0.0000  0.0000 [4 per cell]  12 V 2.93, 4 Pd 3.06
V  0.1267  0.1267  0.6267 [16 per cell]  6 V 2.46-2.53
Pd  0.2500  0.2500  0.2500 [4 per cell]  12 V 2.93, 4 Nb 3.06

=====

# 11
Compound: NbV2Pd
Source: the Alexandria database
Functional: PBE
Structure: relaxed

**Density of states at the Fermi level**: 5.76 states/eV/f.u.
**Formation enthalpy at 0 K**: -20 meV per atom
**E**: -8.39 eV/atom
**V**: 240.9 Å³/cell
**Energy relative to the lowest polymorph listed for this composition**: 34 meV/atom

abc: 6.2221 6.2221 6.2221
angles: 90.00 90.00 90.00
Closest atoms and distances in Å follow each position.
Space group Fm-3m (No. 225)
One atom of each set of equivalent atoms:
Nb  0.0000  0.0000  0.0000 [4 per cell]  8 V 2.69
V  0.2500  0.2500  0.2500 [8 per cell]  4 Nb 2.69, 4 Pd 2.69
Pd  0.0000  0.0000  0.5000 [4 per cell]  8 V 2.69

=====

# 12
Compound: Nb2VPd2
Source: the Alexandria database
Functional: PBE
Structure: relaxed

**Density of states at the Fermi level**: 6.71 states/eV/f.u.
**Formation enthalpy at 0 K**: 85 meV per atom
**E**: -7.84 eV/atom
**V**: 170.7 Å³/cell

abc: 7.8499 7.8499 2.7701
angles: 90.00 90.00 90.00
Closest atoms and distances in Å follow each position.
Space group P4/mbm (No. 127)
One atom of each set of equivalent atoms:
Nb  0.1764  0.3236  0.0000 [4 per cell]  6 Pd 2.63-2.75, 2 Nb 2.77
V  0.0000  0.0000  0.5000 [2 per cell]  2 V 2.77
Pd  0.1221  0.6221  0.5000 [4 per cell]  6 Nb 2.63-2.75, 3 Pd 2.71-2.77

=====

# 13
Compound: NbVPd
Source: the Alexandria database
Functional: PBE
Structure: relaxed

**Density of states at the Fermi level**: 4.03 states/eV/f.u.
**Formation enthalpy at 0 K**: 43 meV per atom
**E**: -8.08 eV/atom
**V**: 47.6 Å³/cell
**Energy relative to the lowest polymorph listed for this composition**: 211 meV/atom

abc: 4.5565 4.5565 2.6491
angles: 90.00 90.00 120.00
Closest atoms and distances in Å follow each position.
Space group P-6m2 (No. 187)
One atom of each set of equivalent atoms:
Nb  0.0000  0.0000  0.0000 [1 per cell]  2 Nb 2.65, 6 Pd 2.95, 6 V 2.95
V  0.6667  0.3333  0.5000 [1 per cell]  3 Pd 2.63, 2 V 2.65, 6 Nb 2.95
Pd  0.3333  0.6667  0.5000 [1 per cell]  3 V 2.63, 2 Pd 2.65, 6 Nb 2.95